DFT (PBEsol) results for a relaxed IrRh2SN crystal.

abc: 4.8274 4.8274 3.5789
angles: 90.00 90.00 90.00
Last column: nearest neighbours and their distance in Å.
Space group P4/mmm (No. 123)
Symmetry-distinct sites (fractional):
1 Ir 0.0000 0.0000 0.0000  2 N 1.79
2 Rh 0.0000 0.5000 0.0000  2 Ir 2.41
3 S 0.5000 0.5000 0.5000  8 Rh 3.00
4 N 0.0000 0.0000 0.5000  2 Ir 1.79

Output
Spin magnetization: 0.00 Bohr magnetons per cell
ρ: 8.84 g/cm3
Uncorrected formation energy: 1175 meV/atom


DFT (PBEsol) results for a relaxed Sr2CaP2 crystal.

abc: 8.0853 8.0853 4.0703
angles: 90.00 90.00 90.00
Last column: nearest neighbours and their distance in Å.
Space group P4/mbm (No. 127)
Symmetry-distinct sites (fractional):
1 Sr 0.1361 0.3639 0.0000  6 P 2.99-3.23, 1 Sr 3.11
2 Ca 0.0000 0.0000 0.5000  4 P 2.99
3 P 0.1719 0.6719 0.5000  6 Sr 2.99-3.23, 2 Ca 2.99

Output
Spin magnetization: 0.00 Bohr magnetons per cell
ρ: 3.46 g/cm3
Formation energy: -0.956 eV/atom


DFT (PBEsol) results for a relaxed BeCuF2 crystal.

abc: 2.7098 2.7098 25.5657
angles: 90.00 90.00 120.00
Last column: nearest neighbours and their distance in Å.
Space group R-3m (No. 166, hexagonal axes)
Symmetry-distinct sites (fractional):
1 Be 0.0000 0.0000 0.0000  2 F 1.38
2 Cu 0.0000 0.0000 0.5000  6 Cu 2.71
3 F 0.0000 0.0000 0.0540  1 Be 1.38

Output
Spin magnetization: 0.00 Bohr magnetons per cell
ρ: 3.39 g/cm3
Relative energy among the computed polymorphs: 2.70 eV/f.u.
Uncorrected formation energy: -1303 meV/atom